[1]
Dy6Y5Th: relaxed, PBE.

POSCAR file:
```
Dy6Y5Th
1.0
-2.5158 5.0391 7.5618
2.5158 -5.0391 7.5618
2.5158 5.0391 -7.5618
Dy Y Th
6 5 1
direct
0.0839 0.3352 0.7487
0.2468 0.0000 0.2468
0.4135 0.6648 0.7487
0.5865 0.3352 0.2513
0.7532 0.0000 0.7532
0.9161 0.6648 0.2513
0.1653 0.1653 0.0000
0.3333 0.8333 0.5000
0.5000 0.5000 0.0000
0.6667 0.1667 0.5000
0.8347 0.8347 0.0000
0.0000 0.5000 0.5000
```

- Space-group type: Immm, No. 71
- Calculated formation energy: 0.0287 eV per atom

[2]
RhWCl2: relaxed, PBE.

POSCAR file:
```
RhWCl2
1.0
6.7477 0.0000 0.0000
0.0000 3.0435 0.0000
-2.3737 0.0000 8.2796
Rh W Cl
2 2 4
direct
0.0000 0.0000 0.0000
0.5000 0.5000 0.0000
0.2104 0.0000 0.8237
0.7104 0.5000 0.8237
0.1270 0.5000 0.5965
0.2845 0.5000 0.2016
0.6270 0.0000 0.5965
0.7845 0.0000 0.2016
```

- Space-group type: Cm, No. 8
- ΔE_f (raw): -152.7 meV/atom

[3]
Nb2GaTe4: relaxed, PBE.

POSCAR file:
```
Nb2GaTe4
1.0
-4.0640 4.3437 5.8000
4.0640 -4.3437 5.8000
4.0640 4.3437 -5.8000
Nb Ga Te
4 2 8
direct
0.0000 0.0000 0.0000
0.5000 0.0000 0.0000
0.5000 0.0000 0.5000
0.5000 0.5000 0.5000
0.1185 0.3685 0.7500
0.8815 0.6315 0.2500
0.2532 0.2316 0.4784
0.2532 0.7748 0.0216
0.2661 0.2465 0.0195
0.2730 0.7535 0.5195
0.7270 0.2465 0.4805
0.7339 0.7535 0.9805
0.7468 0.2252 0.9784
0.7468 0.7684 0.5216
```

- Space-group type: Imma, No. 74
- ΔE_f (raw): -157.1 meV/atom

[4]
NdPd6Au: relaxed, PBE.

POSCAR file:
```
NdPd6Au
1.0
5.2215 0.0000 0.0000
0.0000 5.2215 0.0000
0.0000 0.0000 5.2215
Nd Pd Au
1 6 1
direct
0.0000 0.0000 0.0000
0.0000 0.2557 0.5000
0.0000 0.7443 0.5000
0.2557 0.5000 0.0000
0.5000 0.0000 0.2557
0.5000 0.0000 0.7443
0.7443 0.5000 0.0000
0.5000 0.5000 0.5000
```

- Space-group type: Pm-3, No. 200
- Calculated formation energy: -0.2380 eV per atom

[5]
AlH12Cl3O6: relaxed, PBE.

POSCAR file:
```
AlH12Cl3O6
1.0
5.8445 3.3743 4.2069
-5.8445 3.3743 4.2069
0.0000 -6.7486 4.2069
Al H Cl O
2 24 6 12
direct
0.0000 0.0000 0.0000
0.5000 0.5000 0.5000
0.0446 0.7428 0.7902
0.0855 0.2903 0.8828
0.1172 0.9145 0.7097
0.2097 0.4145 0.6172
0.2098 0.9554 0.2572
0.2428 0.5446 0.2902
0.2572 0.2098 0.9554
0.2902 0.2428 0.5446
0.2903 0.8828 0.0855
0.3828 0.7903 0.5855
0.4145 0.6172 0.2097
0.4554 0.7098 0.7572
0.5446 0.2902 0.2428
0.5855 0.3828 0.7903
0.6172 0.2097 0.4145
0.7097 0.1172 0.9145
0.7098 0.7572 0.4554
0.7428 0.7902 0.0446
0.7572 0.4554 0.7098
0.7902 0.0446 0.7428
0.7903 0.5855 0.3828
0.8828 0.0855 0.2903
0.9145 0.7097 0.1172
0.9554 0.2572 0.2098
0.0140 0.4860 0.7500
0.2500 0.9860 0.5140
0.4860 0.7500 0.0140
0.5140 0.2500 0.9860
0.7500 0.0140 0.4860
0.9860 0.5140 0.2500
0.0627 0.8693 0.8080
0.1307 0.1920 0.9373
0.1920 0.9373 0.1307
0.3080 0.3693 0.5627
0.3693 0.5627 0.3080
0.4373 0.6920 0.6307
0.5627 0.3080 0.3693
0.6307 0.4373 0.6920
0.6920 0.6307 0.4373
0.8080 0.0627 0.8693
0.8693 0.8080 0.0627
0.9373 0.1307 0.1920
```

- Space-group type: R-3c, No. 167

[6]
Tb4SbOs: relaxed, PBE.

POSCAR file:
```
Tb4SbOs
1.0
6.1410 0.0000 0.0000
0.0000 6.6144 0.0000
-0.2846 0.0000 8.2158
Tb Sb Os
8 2 2
direct
0.1074 0.0011 0.2107
0.1074 0.4989 0.2107
0.3448 0.2500 0.6189
0.3925 0.7500 0.9066
0.6075 0.2500 0.0934
0.6552 0.7500 0.3811
0.8926 0.5011 0.7893
0.8926 0.9989 0.7893
0.1936 0.7500 0.5440
0.8064 0.2500 0.4560
0.2026 0.2500 0.9365
0.7974 0.7500 0.0635
```

- Space-group type: P2_1/m, No. 11
- ΔE_f (raw): -510.4 meV/atom

One value per record, in order, for calculated total energy: -5.584; -6.152; -5.262; -5.138; -4.827; -6.156 eV per atom.